Record 1
4
Lattice="3.1747 0.0000 0.0000 0.0000 3.1747 0.0000 0.0000 0.0000 8.3961" Properties=species:S:1:pos:R:3 comment="SrZrSi2, relaxed, DFT GGA-PBE" raw_formation_energy_kj_per_mol_fu=-108 final_energy_ev_per_atom=-5.55 pbc="T T T"
Si 0.0000 0.0000 8.1777
Si 0.0000 0.0000 4.4165
Sr 1.5873 1.5873 2.0990
Zr 1.5873 1.5873 6.2971

---

Record 2
12
Lattice="4.2048 0.0000 0.0000 0.0000 8.3949 0.3052 -2.1024 -2.4142 8.8307" Properties=species:S:1:pos:R:3 comment="PrNd2Dy3As6, relaxed, DFT GGA-PBE" final_energy_ev_per_atom=-6.18 delta_e_f_ev_per_atom=-1.52 pbc="T T T"
Pr 2.1024 0.0000 0.0000
Nd 2.1024 3.9881 6.0867
Nd 0.0000 1.9927 3.0492
Dy 2.1024 4.1975 0.1526
Dy 2.1024 -0.2071 5.9396
Dy 0.0000 6.1878 3.1964
As 0.0000 6.1420 6.1219
As 2.1024 4.1436 3.0861
As 2.1024 -0.1612 3.0140
As 2.1024 -0.2492 8.8742
As 0.0000 6.2300 0.2618
As 0.0000 1.8371 6.0498

---

Record 3
8
Lattice="4.7775 0.0000 0.0000 0.0000 4.7775 0.0000 0.0000 0.0000 9.7074" Properties=species:S:1:pos:R:3 comment="ThCdSnTe, relaxed, DFT GGA-PBE" raw_formation_energy_kj_per_mol_fu=-201 final_energy_ev_per_atom=-4.39 pbc="T T T"
Th 2.3888 0.0000 6.9900
Th 0.0000 2.3888 2.7174
Cd 2.3888 2.3888 0.0000
Cd 0.0000 0.0000 0.0000
Sn 0.0000 2.3888 7.8126
Sn 2.3888 0.0000 1.8948
Te 0.0000 0.0000 4.8537
Te 2.3888 2.3888 4.8537